No. 1
First-principles (PBE) data for an optimized crystal structure of CoCuW2, as listed in the Alexandria database.

Cell and atoms, written as extended XYZ:
```
4
Lattice="4.4053 -1.3318 0.0000 4.4053 1.3318 0.0000 -0.7143 0.0000 4.7001" Properties=species:S:1:pos:R:3 pbc="T T T"
Co 0.0000 0.0000 0.0000
Cu 1.7062 0.0000 3.5293
W 4.0611 0.0000 2.4587
W 6.3655 0.0000 1.0661
```

## Properties
Electronic total energy in eV/cell: -36.06
Theoretical density in g cm⁻³: 14.8
Distance to the lowest polymorph of the same formula in kJ per mole of atoms: 7.0
Volume in Å³/f.u.: 55.15
Size of the total moment in μB/cell: 0.000
Density of states at the Fermi level in states/eV per cell: 3.3
Space group: Cm
Energy relative to the elements in eV/f.u.: 1.0

No. 2
First-principles (PBE) data for an optimized crystal structure of LiTeOs2, as listed in the Alexandria database.

Cell and atoms, written as extended XYZ:
```
4
Lattice="3.1997 0.0000 0.0000 0.0000 3.1997 0.0000 0.0000 0.0000 5.8770" Properties=species:S:1:pos:R:3 pbc="T T T"
Li 0.0000 0.0000 0.0000
Te 0.0000 0.0000 2.9385
Os 1.5999 1.5999 1.3584
Os 1.5999 1.5999 4.5186
```

## Properties
Electronic total energy in eV/cell: -24.85
Theoretical density in g cm⁻³: 14.2
Energy relative to the elements, uncorrected in eV per atom: 0.666
Volume in Å³/f.u.: 60.17
Size of the total moment in μB/cell: 0.000
Density of states at the Fermi level in states/eV per cell: 3.4
Space group: P4/mmm

No. 3
First-principles (PBE) data for an optimized crystal structure of CdPb2Au2, as listed in the Alexandria database.

Cell and atoms, written as extended XYZ:
```
5
Lattice="4.7236 0.0000 0.0000 -2.3618 4.0907 0.0000 0.0000 0.0000 6.6436" Properties=species:S:1:pos:R:3 pbc="T T T"
Cd 0.0000 0.0000 0.0000
Pb 0.0000 2.7271 4.4109
Pb 2.3618 1.3636 2.2327
Au 0.0000 2.7271 1.0299
Au 2.3618 1.3636 5.6137
```

## Properties
Electronic total energy in eV/cell: -15.29
Theoretical density in g cm⁻³: 11.9
Distance to the lowest polymorph of the same formula in kJ per mole of atoms: 0.1
Volume in Å³/f.u.: 128.37
Size of the total moment in μB/cell: 0.000
Density of states at the Fermi level in states/eV per cell: 1.5
Space group: P-3m1
Energy relative to the elements in eV/f.u.: -0.4

No. 4
First-principles (PBE) data for an optimized crystal structure of Ac6La2Sm3, as listed in the Alexandria database.

Cell and atoms, written as extended XYZ:
```
11
Lattice="3.3329 -5.7783 0.0000 3.3329 5.7783 0.0000 -2.2299 0.0000 12.1427" Properties=species:S:1:pos:R:3 pbc="T T T"
Ac -0.0064 1.9245 9.1182
Ac 1.1046 0.0000 3.0325
Ac -0.0064 -1.9245 9.1182
Ac 4.4423 1.9245 3.0245
Ac 3.3314 0.0000 9.1102
Ac 4.4423 -1.9245 3.0245
La 2.2180 1.9240 6.0714
La 2.2180 -1.9240 6.0714
Sm 3.3329 3.8627 0.0000
Sm 3.3329 0.0000 0.0000
Sm 3.3329 -3.8627 0.0000
```

## Properties
Electronic total energy in eV/cell: -46.74
Theoretical density in g cm⁻³: 7.4
Volume in Å³/f.u.: 467.70
Size of the total moment in μB/cell: 0.000
Density of states at the Fermi level in states/eV per cell: 17.2
Space group: C2/m
Energy relative to the elements in eV/f.u.: 1.9